1.
Here is a relaxed LaCrN2 crystal from Alexandria. Energies are from GGA-PBE.

Output
Total magnetic moment in μB per atom: 0.269
E in eV per atom: -8.537
E_form (uncorrected) in kJ/mol of formula units: -284

a = 4.8584 Å, b = 4.8584 Å, c = 6.0952 Å
α = 66.51°, β = 66.51°, γ = 90.00°
Last column: nearest neighbours and their distance in Å.
Fractional positions:
N  0.3750  0.4927  0.7500  2 Cr 1.86
Cr  0.2500  0.7500  0.5000  4 N 1.86
N  0.5073  0.1250  0.2500  2 Cr 1.86
Cr  0.5000  0.5000  0.0000  4 N 1.86
La  0.0000  0.0000  0.0000  4 N 2.50
N  0.2427  0.6250  0.2500  2 Cr 1.86
La  0.7500  0.2500  0.5000  4 N 2.50
N  0.8750  0.7573  0.7500  2 Cr 1.86

***

2.
Here is a relaxed AcPmNd3Ho crystal from Alexandria. Energies are from GGA-PBE.

Output
Calculated formation energy in eV per atom: 0.20
Total magnetic moment in μB per atom: 0.000
E in eV per atom: -4.428

a = 5.9061 Å, b = 10.8123 Å, c = 7.1347 Å
α = 91.34°, β = 90.00°, γ = 105.85°
Last column: nearest neighbours and their distance in Å.
Fractional positions:
Ho  0.3568  0.7136  0.5128  4 Nd 3.24-3.48, 1 Ac 3.25
Pm  0.0558  0.1116  0.2842  3 Nd 3.32-3.39
Ho  0.6432  0.2864  0.4872  4 Nd 3.24-3.48, 1 Ac 3.25
Nd  0.2185  0.4370  0.2732  3 Ho 3.31-3.69, 1 Pm 3.39, 3 Ac 3.57-3.70, 1 Nd 3.58
Pm  0.9442  0.8884  0.7158  3 Nd 3.32-3.39
Ac  0.6480  0.2960  0.0317  1 Ho 3.25, 4 Nd 3.39-3.62
Nd  0.8395  0.6790  0.2591  2 Ho 3.48, 3 Nd 3.58-3.88, 2 Ac 3.62, 1 Pm 3.87
Nd  0.1605  0.3210  0.7409  2 Ho 3.48, 3 Nd 3.58-3.88, 2 Ac 3.62, 1 Pm 3.87
Nd  0.5164  0.0327  0.7417  1 Ho 3.24, 2 Pm 3.32, 1 Ac 3.39, 1 Nd 3.50
Ac  0.3520  0.7040  0.9683  1 Ho 3.25, 4 Nd 3.39-3.62
Nd  0.7815  0.5630  0.7268  3 Ho 3.31-3.69, 1 Pm 3.39, 3 Ac 3.57-3.70, 1 Nd 3.58
Nd  0.4836  0.9673  0.2583  1 Ho 3.24, 2 Pm 3.32, 1 Ac 3.39, 1 Nd 3.50

***

3.
Here is a relaxed PuBe2Os crystal from Alexandria. Energies are from GGA-PBE.

Output
Calculated formation energy in eV per atom: -0.04
Total magnetic moment in μB per atom: 1.306
E in eV per atom: -8.294

a = 3.0049 Å, b = 3.0049 Å, c = 6.1959 Å
α = 90.00°, β = 90.00°, γ = 90.00°
Last column: nearest neighbours and their distance in Å.
Fractional positions:
Be  0.0000  0.0000  0.8300  1 Be 2.11
Pu  0.5000  0.5000  0.5000  8 Be 2.95, 4 Pu 3.00, 2 Os 3.10
Be  0.0000  0.0000  0.1700  1 Be 2.11
Os  0.5000  0.5000  0.0000  8 Be 2.37

***

4.
Here is a relaxed RbCaHCl2 crystal from Alexandria. Energies are from GGA-PBE.

Output
Total magnetic moment in μB per atom: 0.000
E in eV per atom: -3.639

a = 5.5146 Å, b = 5.5146 Å, c = 4.4151 Å
α = 90.00°, β = 90.00°, γ = 90.00°
Last column: nearest neighbours and their distance in Å.
Fractional positions:
Cl  0.5000  0.0000  0.0000  2 Ca 2.76
Cl  0.0000  0.5000  0.0000  2 Ca 2.76
Ca  0.0000  0.0000  0.0000  2 H 2.21
H  0.0000  0.0000  0.5000  2 Ca 2.21
Rb  0.5000  0.5000  0.5000  8 Cl 3.53, 4 H 3.90

***

5.
Here is a relaxed Sc2ReBr crystal from Alexandria. Energies are from GGA-PBE.

Output
Total magnetic moment in μB per atom: 0.000
E in eV per atom: -6.504
E_form (uncorrected) in kJ/mol of formula units: 74
E above lowest polymorph in meV per atom: 727

a = 5.7737 Å, b = 5.7737 Å, c = 5.7737 Å
α = 140.76°, β = 140.76°, γ = 56.70°
Last column: nearest neighbours and their distance in Å.
Fractional positions:
Re  0.7500  0.2500  0.5000  4 Sc 2.74
Sc  0.0000  0.0000  0.0000  4 Br 2.74
Sc  0.2500  0.7500  0.5000  4 Re 2.74
Br  0.5000  0.5000  0.0000  4 Sc 2.74

***

6.
Here is a relaxed MnHgRuS crystal from Alexandria. Energies are from GGA-PBE.

Output
Total magnetic moment in μB per atom: 0.000
E in eV per atom: -5.613
E_form (uncorrected) in kJ/mol of formula units: 41
E above lowest polymorph in meV per atom: 22

a = 2.8537 Å, b = 2.8537 Å, c = 15.4468 Å
α = 90.00°, β = 90.00°, γ = 90.00°
Last column: nearest neighbours and their distance in Å.
Fractional positions:
Ru  0.5000  0.5000  0.3930  4 Mn 2.60, 1 S 2.79, 4 Ru 2.85
Mn  0.5000  0.5000  0.9989  4 S 2.32, 4 Ru 2.60
S  0.0000  0.0000  0.0735  4 Mn 2.32
Hg  0.5000  0.5000  0.7561  1 S 2.82, 4 Hg 2.85, 4 Ru 2.92
Hg  0.0000  0.0000  0.2561  1 S 2.82, 4 Hg 2.85, 4 Ru 2.92
Ru  0.0000  0.0000  0.8930  4 Mn 2.60, 1 S 2.79, 4 Ru 2.85
S  0.5000  0.5000  0.5735  4 Mn 2.32
Mn  0.0000  0.0000  0.4989  4 S 2.32, 4 Ru 2.60

***

7.
Here is a relaxed LaVN3 crystal from Alexandria. Energies are from GGA-PBE.

Output
Total magnetic moment in μB per atom: 0.032
E in eV per atom: -8.709
E_form (uncorrected) in kJ/mol of formula units: -436

a = 3.7599 Å, b = 5.2118 Å, c = 7.1910 Å
α = 89.29°, β = 105.16°, γ = 92.70°
Last column: nearest neighbours and their distance in Å.
Fractional positions:
N  0.7747  0.7921  0.9835  1 N 1.38
N  0.5676  0.3975  0.2695  2 V 1.83-1.85
La  0.2655  0.7915  0.7067  3 N 2.37-2.53
N  0.2807  0.2986  0.6033  1 N 1.38
N  0.0545  0.7986  0.1508  1 N 1.38
V  0.7198  0.2465  0.5104  4 N 1.83-2.04
V  0.5865  0.7464  0.2437  4 N 1.83-2.04
N  0.6751  0.8975  0.4845  2 V 1.83-1.85
La  0.9358  0.2915  0.0473  3 N 2.37-2.53
N  0.1684  0.2921  0.7707  1 N 1.38

***

8.
Here is a relaxed LiCoSi2 crystal from Alexandria. Energies are from GGA-PBE.

Output
Total magnetic moment in μB per atom: 0.000
E in eV per atom: -5.116
E_form (uncorrected) in kJ/mol of formula units: -58
E above lowest polymorph in meV per atom: 139

a = 3.1018 Å, b = 3.1018 Å, c = 4.9508 Å
α = 90.00°, β = 90.00°, γ = 90.00°
Last column: nearest neighbours and their distance in Å.
Fractional positions:
Li  0.5000  0.5000  0.7549  6 Si 2.37-2.58, 4 Co 2.60
Si  0.0000  0.0000  0.9948  2 Co 2.38-2.57, 4 Li 2.49, 4 Si 2.60
Co  0.0000  0.0000  0.4748  6 Si 2.38-2.57, 4 Li 2.60
Si  0.5000  0.5000  0.2755  2 Li 2.37-2.58, 4 Co 2.40, 4 Si 2.60